1.
A plane-wave DFT calculation with PBE was carried out for Sc11Ga4Hg9 after structural relaxation.

```
24
Lattice="3.602 0.000 0.000 0.000 11.353 -4.787 0.000 0.060 12.321" Properties=species:S:1:pos:R:3 pbc="T T T"
Sc 0.000 6.721 8.611
Sc 0.000 4.693 -1.077
Sc 0.000 10.560 2.796
Sc 0.000 0.854 4.738
Sc 0.000 7.293 1.364
Sc 0.000 4.120 6.170
Sc 0.000 9.468 -1.931
Sc 0.000 1.945 9.465
Sc 0.000 0.000 0.000
Sc 0.000 8.186 5.404
Sc 0.000 3.228 2.131
Ga 1.801 6.291 6.504
Ga 1.801 5.123 1.030
Ga 1.801 8.453 3.229
Ga 1.801 2.960 4.306
Hg 1.801 7.134 -1.220
Hg 1.801 4.280 8.754
Hg 1.801 1.682 7.039
Hg 1.801 9.732 0.495
Hg 1.801 9.030 7.864
Hg 1.801 2.384 -0.329
Hg 1.801 10.780 5.213
Hg 1.801 0.634 2.321
Hg 1.801 5.707 3.767
```

Calculated values
* energy of formation from the pure elements: -436.1 meV/atom



2.
A plane-wave DFT calculation with PBE was carried out for TaCuMo3 after structural relaxation.

```
5
Lattice="4.756 0.000 0.000 0.000 4.756 0.000 0.000 0.000 4.756" Properties=species:S:1:pos:R:3 pbc="T T T"
Mo 0.000 2.378 0.000
Mo 0.000 0.000 2.378
Mo 2.378 0.000 0.000
Cu 2.378 2.378 2.378
Ta 0.000 0.000 0.000
```

Calculated values
* energy of formation from the pure elements: 1998.4 meV/atom



3.
A plane-wave DFT calculation with PBE was carried out for TaSbPb2 after structural relaxation.

```
4
Lattice="4.733 0.000 0.000 0.000 3.957 -0.019 0.000 2.005 5.532" Properties=species:S:1:pos:R:3 pbc="T T T"
Pb 0.000 5.713 5.141
Pb 2.366 1.740 1.774
Sb 0.000 3.724 2.665
Ta 2.366 3.728 4.204
```

Calculated values
* formation energy from raw total energies: 37.3 kJ per mole of atoms



4.
A plane-wave DFT calculation with PBE was carried out for DyZrCd after structural relaxation.

```
3
Lattice="-0.024 1.446 -3.028 -4.964 -1.189 -0.528 1.356 4.470 2.123" Properties=species:S:1:pos:R:3 pbc="T T T"
Cd -0.755 2.850 0.682
Zr -0.004 0.222 -0.466
Dy -2.873 1.655 -1.649
```

Calculated values
* energy of formation from the pure elements: 58.4 meV/atom



| no. | size of the total moment (μB per cell) | uncorrected energy (eV/atom) |
| --- | --- | --- |
| 1 | 0.00 | -3.956 |
| 2 | 0.00 | -7.690 |
| 3 | 0.00 | -5.461 |
| 4 | 0.00 | -4.630 |